# CsAg3W (PBE, relaxed)
data_CsAg3W
_chemical_formula_sum 'Cs1 Ag3 W1'
_cell_length_a 5.819
_cell_length_b 5.819
_cell_length_c 5.819
_cell_angle_alpha 90.00
_cell_angle_beta 90.00
_cell_angle_gamma 90.00
_space_group_name_H-M_alt 'P m -3 m'
_space_group_IT_number 221
_space_group_name_Hall '-P 4 2 3'
loop_
_atom_site_label
_atom_site_fract_x
_atom_site_fract_y
_atom_site_fract_z
Cs1 0.000 0.000 0.000
Ag1 0.000 0.000 0.500
W1 0.500 0.500 0.500
# Calculated formation energy in eV/atom: 2.46
# E in eV per atom: -2.0102
# Calculated density in Mg/m³: 5.40